No. 1
A plane-wave DFT calculation with PBE was carried out for an optimized crystal structure of Zr2NbBi.

Summary:
Total magnetization: 0.0 Bohr magnetons per cell
Final energy: -7.896 eV per atom
Theoretical density: 9.17 Mg/m³
SG: No. 123
E_form: -0.134 eV per atom

Unit cell a=3.903 b=4.740 c=4.740 alpha=90.00 beta=90.00 gamma=90.00
Sites, in units of the cell vectors:
Nb1 0.500 0.000 0.000
Bi1 0.500 0.500 0.500
Zr1 0.000 0.000 0.500
Zr2 0.000 0.500 0.000

***

No. 2
A plane-wave DFT calculation with PBE was carried out for an optimized crystal structure of Tm6MgCd3.

Summary:
Total magnetization: 0.0 Bohr magnetons per cell
Final energy: -3.273 eV per atom
Theoretical density: 8.64 Mg/m³
SG: No. 11
E_form: -0.156 eV per atom

Unit cell a=5.273 b=9.170 c=11.522 alpha=108.45 beta=90.00 gamma=90.00
Sites, in units of the cell vectors:
Tm1 0.250 0.461 0.089
Tm2 0.750 0.539 0.911
Tm3 0.250 0.134 0.168
Tm4 0.750 0.866 0.832
Tm5 0.250 0.657 0.683
Tm6 0.750 0.343 0.317
Tm7 0.250 0.255 0.492
Tm8 0.750 0.745 0.508
Tm9 0.250 0.841 0.298
Tm10 0.750 0.159 0.702
Tm11 0.250 0.094 0.878
Tm12 0.750 0.906 0.122
Mg1 0.250 0.958 0.591
Mg2 0.750 0.042 0.409
Cd1 0.250 0.541 0.382
Cd2 0.750 0.459 0.618
Cd3 0.250 0.372 0.780
Cd4 0.750 0.628 0.220
Cd5 0.250 0.775 0.977
Cd6 0.750 0.225 0.023

***

No. 3
A plane-wave DFT calculation with PBE was carried out for an optimized crystal structure of TlIn2Ga2.

Summary:
Total magnetization: 0.0 Bohr magnetons per cell
Final energy: -2.719 eV per atom
Theoretical density: 7.37 Mg/m³
SG: No. 139
Energy above the lowest structure with this stoichiometry: 0.026 eV per atom
E_form: 0.060 eV per atom

Unit cell a=3.780 b=3.780 c=9.427 alpha=101.57 beta=101.57 gamma=90.00
Sites, in units of the cell vectors:
Tl1 0.000 0.000 0.000
In1 0.613 0.613 0.226
In2 0.387 0.387 0.774
Ga1 0.750 0.250 0.500
Ga2 0.250 0.750 0.500

***

No. 4
A plane-wave DFT calculation with PBE was carried out for an optimized crystal structure of TeHPb.

Summary:
Total magnetization: 0.0 Bohr magnetons per cell
Final energy: -3.635 eV per atom
Theoretical density: 5.89 Mg/m³
SG: No. 14

Unit cell a=4.625 b=9.243 c=9.000 alpha=79.98 beta=90.00 gamma=90.00
Sites, in units of the cell vectors:
Te1 0.750 0.343 0.689
Te2 0.250 0.157 0.311
Te3 0.250 0.657 0.311
Te4 0.750 0.843 0.689
H1 0.537 0.977 0.975
H2 0.037 0.523 0.025
H3 0.463 0.023 0.025
H4 0.963 0.477 0.975
Pb1 0.749 0.401 0.347
Pb2 0.249 0.099 0.653
Pb3 0.251 0.599 0.653
Pb4 0.751 0.901 0.347

***

No. 5
A plane-wave DFT calculation with PBE was carried out for an optimized crystal structure of BeAgOs2.

Summary:
Total magnetization: 0.0 Bohr magnetons per cell
Final energy: -6.974 eV per atom
Theoretical density: 14.95 Mg/m³
SG: No. 71
E_form: 0.285 eV per atom

Unit cell a=5.385 b=5.385 c=5.385 alpha=150.82 beta=133.08 gamma=56.22
Sites, in units of the cell vectors:
Be1 0.250 0.750 0.500
Os1 0.042 0.042 0.000
Os2 0.458 0.458 0.000
Ag1 0.750 0.250 0.500

***

No. 6
A plane-wave DFT calculation with PBE was carried out for an optimized crystal structure of MnV2ReN.

Summary:
Total magnetization: 1.8 Bohr magnetons per cell
ΔE_f (raw): -1.83 eV/f.u.
Final energy: -10.002 eV per atom
Theoretical density: 10.09 Mg/m³
SG: No. 123

Unit cell a=3.959 b=3.959 c=3.748 alpha=90.00 beta=90.00 gamma=90.00
Sites, in units of the cell vectors:
Re1 0.500 0.500 0.500
N1 0.000 0.000 0.000
Mn1 0.000 0.000 0.500
V1 0.000 0.500 0.000
V2 0.500 0.000 0.000

***

No. 7
A plane-wave DFT calculation with PBE was carried out for an optimized crystal structure of LaSmAg4.

Summary:
Total magnetization: 0.0 Bohr magnetons per cell
Final energy: -3.774 eV per atom
Theoretical density: 8.23 Mg/m³
SG: No. 47
Energy above the lowest structure with this stoichiometry: 0.006 eV per atom
E_form: -0.266 eV per atom

Unit cell a=3.612 b=4.849 c=8.300 alpha=90.00 beta=90.00 gamma=90.00
Sites, in units of the cell vectors:
La1 0.999 0.997 0.498
Sm1 0.999 0.497 0.998
Ag1 0.499 0.997 0.163
Ag2 0.499 0.997 0.833
Ag3 0.499 0.497 0.669
Ag4 0.499 0.497 0.328

***

No. 8
A plane-wave DFT calculation with PBE was carried out for an optimized crystal structure of LaFeCl4.

Summary:
Total magnetization: 5.1 Bohr magnetons per cell
ΔE_f (raw): -0.48 eV/f.u.
Final energy: -3.542 eV per atom
Theoretical density: 3.90 Mg/m³
SG: No. 216

Unit cell a=5.872 b=5.872 c=5.872 alpha=60.00 beta=60.00 gamma=60.00
Sites, in units of the cell vectors:
La1 0.000 0.000 0.000
Fe1 0.750 0.750 0.750
Cl1 0.875 0.375 0.375
Cl2 0.375 0.375 0.875
Cl3 0.375 0.875 0.375
Cl4 0.375 0.375 0.375

***

No. 9
A plane-wave DFT calculation with PBE was carried out for an optimized crystal structure of Ag2CO3.

Summary:
Total magnetization: 0.0 Bohr magnetons per cell
ΔE_f (raw): -4.25 eV/f.u.
Final energy: -5.675 eV per atom
Theoretical density: 5.50 Mg/m³
SG: No. 26
Energy above the lowest structure with this stoichiometry: 0.028 eV per atom

Unit cell a=3.425 b=9.197 c=15.857 alpha=90.00 beta=90.00 gamma=90.00
Sites, in units of the cell vectors:
Ag1 0.000 0.167 0.918
Ag2 0.500 0.319 0.066
Ag3 0.500 0.360 0.748
Ag4 0.000 0.667 0.082
Ag5 0.000 0.665 0.414
Ag6 0.000 0.668 0.749
Ag7 0.500 0.819 0.934
Ag8 0.500 0.816 0.571
Ag9 0.500 0.860 0.252
Ag10 0.000 0.165 0.586
Ag11 0.000 0.168 0.251
Ag12 0.500 0.316 0.429
C1 0.000 0.000 0.084
C2 0.500 0.999 0.751
C3 0.000 0.499 0.583
C4 0.500 0.499 0.249
C5 0.000 0.500 0.916
C6 0.000 0.999 0.417
O1 0.500 0.616 0.202
O2 0.000 0.890 0.135
O3 0.000 0.977 0.002
O4 0.500 0.116 0.798
O5 0.000 0.132 0.112
O6 0.500 0.371 0.214
O7 0.000 0.390 0.865
O8 0.000 0.390 0.635
O9 0.000 0.477 0.998
O10 0.000 0.475 0.502
O11 0.500 0.511 0.331
O12 0.000 0.631 0.611
O13 0.000 0.632 0.888
O14 0.500 0.871 0.786
O15 0.000 0.890 0.365
O16 0.000 0.975 0.498
O17 0.500 0.011 0.669
O18 0.000 0.131 0.389

***

No. 10
A plane-wave DFT calculation with PBE was carried out for an optimized crystal structure of Ho6PS2N2.

Summary:
Total magnetization: 0.0 Bohr magnetons per cell
ΔE_f (raw): -17.75 eV/f.u.
Final energy: -6.867 eV per atom
Theoretical density: 8.50 Mg/m³
SG: No. 12

Unit cell a=6.412 b=6.412 c=6.481 alpha=99.31 beta=99.31 gamma=120.36
Sites, in units of the cell vectors:
Ho1 0.777 0.777 0.782
Ho2 0.069 0.420 0.777
Ho3 0.223 0.223 0.218
Ho4 0.420 0.069 0.777
Ho5 0.931 0.580 0.223
Ho6 0.580 0.931 0.223
P1 0.000 0.000 0.500
S1 0.338 0.662 0.500
S2 0.662 0.338 0.500
N1 0.834 0.166 0.000
N2 0.166 0.834 0.000

***

No. 11
A plane-wave DFT calculation with PBE was carried out for an optimized crystal structure of Ni7PdPt4.

Summary:
Total magnetization: 6.7 Bohr magnetons per cell
Final energy: -5.863 eV per atom
Theoretical density: 13.74 Mg/m³
SG: No. 2
Energy above the lowest structure with this stoichiometry: 0.000 eV per atom
E_form: -0.044 eV per atom

Unit cell a=5.252 b=5.863 c=8.700 alpha=62.59 beta=41.87 gamma=64.32
Sites, in units of the cell vectors:
Ni1 0.750 0.507 0.997
Ni2 0.250 0.493 0.003
Ni3 0.999 0.329 0.671
Ni4 0.001 0.671 0.329
Ni5 0.247 0.837 0.665
Ni6 0.500 0.000 0.000
Ni7 0.753 0.163 0.335
Pd1 0.000 0.000 0.000
Pt1 0.507 0.655 0.325
Pt2 0.493 0.345 0.675
Pt3 0.747 0.820 0.670
Pt4 0.253 0.180 0.330

***

No. 12
A plane-wave DFT calculation with PBE was carried out for an optimized crystal structure of Fe3Pt5Rh3.

Summary:
Total magnetization: 10.2 Bohr magnetons per cell
Final energy: -6.741 eV per atom
Theoretical density: 14.14 Mg/m³
SG: No. 189
E_form: 0.318 eV per atom

Unit cell a=2.701 b=8.538 c=8.538 alpha=120.00 beta=90.00 gamma=90.00
Sites, in units of the cell vectors:
Fe1 0.500 0.834 0.000
Fe2 0.500 0.166 0.166
Fe3 0.500 0.000 0.834
Pt1 0.500 0.667 0.333
Pt2 0.500 0.333 0.667
Pt3 0.500 0.329 0.000
Pt4 0.500 0.671 0.671
Pt5 0.500 0.000 0.329
Rh1 0.000 0.595 0.000
Rh2 0.000 0.000 0.595
Rh3 0.000 0.405 0.405

***

No. 13
A plane-wave DFT calculation with PBE was carried out for an optimized crystal structure of CsZrCl3.

Summary:
Total magnetization: 0.0 Bohr magnetons per cell
ΔE_f (raw): -7.64 eV/f.u.
Final energy: -4.517 eV per atom
Theoretical density: 3.96 Mg/m³
SG: No. 221
Energy above the lowest structure with this stoichiometry: 0.000 eV per atom

Unit cell a=5.174 b=5.174 c=5.174 alpha=90.00 beta=90.00 gamma=90.00
Sites, in units of the cell vectors:
Cs1 0.500 0.500 0.500
Zr1 0.000 0.000 0.000
Cl1 0.000 0.500 0.000
Cl2 0.000 0.000 0.500
Cl3 0.500 0.000 0.000

***

No. 14
A plane-wave DFT calculation with PBE was carried out for an optimized crystal structure of Sr2CuO2F2.

Summary:
Total magnetization: 0.1 Bohr magnetons per cell
ΔE_f (raw): -18.28 eV/f.u.
Final energy: -5.628 eV per atom
Theoretical density: 5.01 Mg/m³
SG: No. 139
Energy above the lowest structure with this stoichiometry: 0.046 eV per atom

Unit cell a=3.875 b=3.875 c=7.341 alpha=105.30 beta=105.30 gamma=90.00
Sites, in units of the cell vectors:
Sr1 0.373 0.373 0.747
Sr2 0.627 0.627 0.253
Cu1 0.000 0.000 0.000
O1 0.000 0.500 0.000
O2 0.500 0.000 0.000
F1 0.191 0.191 0.382
F2 0.809 0.809 0.618

***

No. 15
A plane-wave DFT calculation with PBE was carried out for an optimized crystal structure of Dy4YEr8.

Summary:
Total magnetization: 0.0 Bohr magnetons per cell
Final energy: -4.492 eV per atom
Theoretical density: 8.46 Mg/m³
SG: No. 166
E_form: 0.230 eV per atom

Unit cell a=7.242 b=7.242 c=9.905 alpha=90.00 beta=111.44 gamma=120.00
Sites, in units of the cell vectors:
Dy1 0.000 0.000 0.000
Dy2 0.000 0.500 0.000
Dy3 0.500 0.500 0.000
Dy4 0.500 0.000 0.000
Y1 0.000 0.500 0.500
Er1 0.567 0.783 0.350
Er2 0.433 0.217 0.650
Er3 0.499 0.249 0.304
Er4 0.945 0.194 0.696
Er5 0.501 0.751 0.696
Er6 0.945 0.751 0.696
Er7 0.055 0.249 0.304
Er8 0.055 0.806 0.304

***

No. 16
A plane-wave DFT calculation with PBE was carried out for an optimized crystal structure of CdGaN2O.

Summary:
Total magnetization: 4.0 Bohr magnetons per cell
ΔE_f (raw): 7.59 eV/f.u.
Final energy: -3.591 eV per atom
Theoretical density: 4.60 Mg/m³
SG: No. 123

Unit cell a=4.343 b=4.343 c=4.328 alpha=90.00 beta=90.00 gamma=90.00
Sites, in units of the cell vectors:
N1 0.000 0.500 0.000
N2 0.500 0.000 0.000
O1 0.000 0.000 0.500
Ga1 0.500 0.500 0.500
Cd1 0.000 0.000 0.000

***

No. 17
A plane-wave DFT calculation with PBE was carried out for an optimized crystal structure of Ac2TbSm5Dy.

Summary:
Total magnetization: 0.0 Bohr magnetons per cell
Final energy: -4.418 eV per atom
Theoretical density: 7.78 Mg/m³
SG: No. 36
E_form: 0.143 eV per atom

Unit cell a=5.814 b=10.644 c=10.957 alpha=90.00 beta=90.00 gamma=105.85
Sites, in units of the cell vectors:
Ac1 0.883 0.765 0.820
Ac2 0.112 0.224 0.733
Ac3 0.117 0.235 0.320
Ac4 0.888 0.776 0.233
Tb1 0.795 0.589 0.509
Tb2 0.205 0.411 0.009
Sm1 0.391 0.782 0.022
Sm2 0.717 0.434 0.807
Sm3 0.481 0.962 0.742
Sm4 0.297 0.593 0.702
Sm5 0.980 0.961 0.524
Sm6 0.609 0.218 0.522
Sm7 0.283 0.566 0.307
Sm8 0.519 0.038 0.242
Sm9 0.703 0.407 0.202
Sm10 0.020 0.039 0.024
Dy1 0.590 0.180 0.965
Dy2 0.410 0.820 0.465

***

No. 18
A plane-wave DFT calculation with PBE was carried out for an optimized crystal structure of K2LiErBr6.

Summary:
Total magnetization: 0.0 Bohr magnetons per cell
ΔE_f (raw): -17.68 eV/f.u.
Final energy: -3.639 eV per atom
Theoretical density: 3.80 Mg/m³
SG: No. 14

Unit cell a=7.578 b=7.856 c=10.751 alpha=90.00 beta=89.63 gamma=90.00
Sites, in units of the cell vectors:
K1 0.020 0.934 0.252
K2 0.520 0.566 0.752
K3 0.980 0.066 0.748
K4 0.480 0.434 0.248
Li1 0.500 0.000 0.000
Li2 0.000 0.500 0.500
Er1 0.500 0.000 0.500
Er2 0.000 0.500 0.000
Br1 0.296 0.701 0.044
Br2 0.796 0.799 0.544
Br3 0.704 0.299 0.956
Br4 0.204 0.201 0.456
Br5 0.301 0.707 0.457
Br6 0.801 0.793 0.957
Br7 0.699 0.293 0.543
Br8 0.199 0.207 0.043
Br9 0.914 0.516 0.252
Br10 0.414 0.984 0.752
Br11 0.086 0.484 0.748
Br12 0.586 0.016 0.248